No. 1
# ZrAs2Se

Crystalline ZrAs2Se at its relaxed geometry (GGA-PBE, Alexandria).

a = 3.838 Å, b = 3.843 Å, c = 5.491 Å
α = 90.00°, β = 90.00°, γ = 90.00°
Atoms (fractional coordinates):
As1 0.000 0.000 0.000
As2 0.500 0.500 0.000
Se1 0.500 0.000 0.500
Zr1 0.000 0.500 0.500

Properties
Formation energy (no corrections) = -0.33 eV per atom
Theoretical density = 6.6 g/cm3
Size of the total moment = 0.0 Bohr magnetons per cell

=====

No. 2
# AcGd3O

Crystalline AcGd3O at its relaxed geometry (GGA-PBE, Alexandria).

a = 5.106 Å, b = 5.106 Å, c = 5.106 Å
α = 90.00°, β = 90.00°, γ = 90.00°
Atoms (fractional coordinates):
Ac1 0.500 0.500 0.500
Gd1 0.000 0.500 0.000
Gd2 0.000 0.000 0.500
Gd3 0.500 0.000 0.000
O1 0.000 0.000 0.000

Properties
Formation energy (no corrections) = -0.99 eV per atom
Theoretical density = 8.9 g/cm3
Size of the total moment = 22.0 Bohr magnetons per cell